1.
Density functional theory data (PBE-GGA) for an optimized crystal structure of Ac2HgF11.

Unit cell a=9.087 b=9.067 c=9.067 alpha=72.99 beta=59.93 gamma=59.93
Element x y z (fractional)
F 0.102 0.179 0.821
F 0.668 0.711 0.566
F 0.739 0.688 0.021
F 0.055 0.566 0.711
F 0.239 0.521 0.188
F 0.948 0.812 0.479
F 0.000 0.000 0.000
F 0.945 0.434 0.289
F 0.261 0.312 0.979
F 0.602 0.321 0.679
F 0.555 0.211 0.066
F 0.898 0.821 0.179
F 0.832 0.934 0.789
F 0.052 0.188 0.521
F 0.445 0.789 0.934
F 0.500 0.500 0.500
F 0.448 0.979 0.312
F 0.552 0.021 0.688
F 0.332 0.289 0.434
F 0.398 0.679 0.321
F 0.761 0.479 0.812
F 0.168 0.066 0.211
Ac 0.174 0.807 0.193
Ac 0.674 0.693 0.307
Ac 0.326 0.307 0.693
Ac 0.826 0.193 0.807
Hg 0.750 0.750 0.750
Hg 0.250 0.250 0.250

Values from the calculation:
For the uncorrected formation energy, the calculation gives -35.50 eV per formula unit. Its space group is Ibam (72).

2.
Density functional theory data (PBE-GGA) for an optimized crystal structure of CoSbW3.

Unit cell a=4.519 b=4.519 c=4.519 alpha=90.00 beta=90.00 gamma=90.00
Element x y z (fractional)
W 0.000 0.500 0.000
W 0.000 0.000 0.500
W 0.500 0.000 0.000
Sb 0.500 0.500 0.500
Co 0.000 0.000 0.000

Values from the calculation:
For the uncorrected formation energy, the calculation gives 6.74 eV per formula unit. Its space group is Pm-3m (221). The value obtained for the offset from the most stable computed form is 0.000 eV/atom.

Energy values (in eV per formula unit) by entry order: -64.6 -43.4.
Calculated density values (in g/cm³) by entry order: 5.13 13.17.